The following is a DFT calculation (GGA-PBE) of a relaxed structure of Sm2ScTe.

DOS at the Fermi energy (states/eV per atom): 1.54
Calculated volume (Å³/cell): 126.5
Relative energy among the computed polymorphs (eV/f.u.): 0.38
Total magnetic moment (μB/f.u.): 0.001
ΔE_f (raw) (eV per atom): -0.470

abc: 9.8289 9.8289 9.8289
angles: 22.94 22.94 22.94
Last column: nearest neighbours and their distance in Å.
Fractional coordinates of all 4 atoms:
Sm: 0.0000 0.0000 0.0000  3 Te 3.13, 3 Sc 3.44
Sm: 0.1818 0.1818 0.1818  3 Te 3.14, 3 Sc 3.46
Sc: 0.4238 0.4238 0.4238  6 Sm 3.44-3.46
Te: 0.5911 0.5911 0.5911  6 Sm 3.13-3.14